CaYMoO2 | PBE with a Hubbard U | relaxed

Calculated values
DFT total energy: -24.226 eV for the cell shown
Fermi-level density of states: 6.28 states/eV per cell
Total magnetization: 4.390 μB per formula unit

```
data_CaYMoO2
_chemical_formula_sum 'Ca1 Y1 Mo1 O2'
_cell_length_a 4.386
_cell_length_b 4.386
_cell_length_c 6.313
_cell_angle_alpha 90.00
_cell_angle_beta 90.00
_cell_angle_gamma 90.00
_symmetry_space_group_name_H-M 'P 4/m m m'
_symmetry_Int_Tables_number 123
_symmetry_space_group_name_Hall '-P 4 2'
loop_
_atom_site_label
_atom_site_type_symbol
_atom_site_fract_x
_atom_site_fract_y
_atom_site_fract_z
Ca1 Ca 0.000 0.000 0.000
Y1 Y 0.000 0.000 0.500
Mo1 Mo 0.500 0.500 0.500
O1 O 0.000 0.500 0.000
```